(1)
Computed, not measured: crystalline TbLuGaSn at its relaxed geometry at the GGA-PBE level of DFT.

Cell: 5.181 5.181 5.181 Å, 60.00 60.00 60.00°
Fractional positions:
Tb: 0.000 0.000 0.000
Lu: 0.500 0.500 0.500
Ga: 0.250 0.250 0.250
Sn: 0.750 0.750 0.750

Computed properties:
**Space group**: F-43m, No. 216
**Formation energy from the elements**: -2.05 eV per formula unit
**Crystal system**: cubic



(2)
Computed, not measured: crystalline GePBr2 at its relaxed geometry at the GGA-PBE level of DFT.

Cell: 6.378 6.378 6.378 Å, 105.10 105.10 118.61°
Fractional positions:
Ge: 0.000 0.000 0.000
Ge: 0.750 0.250 0.500
P: 0.250 0.750 0.500
P: 0.500 0.500 0.000
Br: 0.131 0.625 0.006
Br: 0.375 0.381 0.506
Br: 0.619 0.125 0.994
Br: 0.875 0.869 0.494

Computed properties:
**Space group**: I-42d, No. 122
**Crystal system**: tetragonal
**Energy relative to the elements, uncorrected**: 2.00 eV per formula unit



(3)
Computed, not measured: crystalline LiSmSb at its relaxed geometry at the GGA-PBE level of DFT.

Cell: 4.379 4.379 7.660 Å, 90.00 90.00 90.00°
Fractional positions:
Li: 0.250 0.750 0.000
Li: 0.750 0.250 0.000
Sm: 0.250 0.250 0.348
Sm: 0.750 0.750 0.652
Sb: 0.250 0.250 0.765
Sb: 0.750 0.750 0.235

Computed properties:
**Space group**: P4/nmm, No. 129
**Crystal system**: tetragonal
**Energy relative to the elements, uncorrected**: -2.62 eV per formula unit



(4)
Computed, not measured: crystalline NdGd2Pd at its relaxed geometry at the GGA-PBE level of DFT.

Cell: 3.617 3.617 8.615 Å, 90.00 90.00 90.00°
Fractional positions:
Nd: 0.000 0.000 0.000
Gd: 0.500 0.500 0.304
Gd: 0.500 0.500 0.696
Pd: 0.000 0.000 0.500

Computed properties:
**Space group**: P4/mmm, No. 123
**Formation energy from the elements**: -1.56 eV per formula unit
**Crystal system**: tetragonal



(5)
Computed, not measured: crystalline Ce2ZnCo5B2 at its relaxed geometry at the GGA-PBE level of DFT.

Cell: 9.054 9.054 3.108 Å, 90.00 90.00 90.00°
Fractional positions:
Ce: 0.180 0.320 0.000
Ce: 0.320 0.820 0.000
Ce: 0.680 0.180 0.000
Ce: 0.820 0.680 0.000
Zn: 0.000 0.000 0.000
Zn: 0.500 0.500 0.000
Co: 0.000 0.500 0.500
Co: 0.069 0.769 0.500
Co: 0.231 0.069 0.500
Co: 0.269 0.569 0.500
Co: 0.431 0.269 0.500
Co: 0.500 0.000 0.500
Co: 0.569 0.731 0.500
Co: 0.731 0.431 0.500
Co: 0.769 0.931 0.500
Co: 0.931 0.231 0.500
B: 0.116 0.616 0.000
B: 0.384 0.116 0.000
B: 0.616 0.884 0.000
B: 0.884 0.384 0.000

Computed properties:
**Space group**: P4/mbm, No. 127
**Formation energy from the elements**: -3.18 eV per formula unit
**Crystal system**: tetragonal



(6)
Computed, not measured: crystalline HgGeI3 at its relaxed geometry at the GGA-PBE level of DFT.

Cell: 5.783 5.783 5.783 Å, 90.00 90.00 90.00°
Fractional positions:
Hg: 0.000 0.000 0.000
Ge: 0.500 0.500 0.500
I: 0.000 0.500 0.500
I: 0.500 0.000 0.500
I: 0.500 0.500 0.000

Computed properties:
**Space group**: Pm-3m, No. 221
**Crystal system**: cubic
**Energy relative to the elements, uncorrected**: -0.11 eV per formula unit



(7)
Computed, not measured: crystalline Zr2Al2Cu at its relaxed geometry at the GGA-PBE level of DFT.

Cell: 6.479 6.479 4.366 Å, 90.00 90.00 90.00°
Fractional positions:
Zr: 0.165 0.335 0.000
Zr: 0.335 0.835 0.000
Zr: 0.665 0.165 0.000
Zr: 0.835 0.665 0.000
Al: 0.141 0.641 0.500
Al: 0.359 0.141 0.500
Al: 0.641 0.859 0.500
Al: 0.859 0.359 0.500
Cu: 0.000 0.000 0.500
Cu: 0.500 0.500 0.500

Computed properties:
**Space group**: P4/mbm, No. 127
**Formation energy from the elements**: -1.87 eV per formula unit
**Crystal system**: tetragonal



(8)
Computed, not measured: crystalline AsSeN2 at its relaxed geometry at the GGA-PBE level of DFT.

Cell: 4.058 4.058 4.058 Å, 60.00 60.00 60.00°
Fractional positions:
As: 0.000 0.000 0.000
Se: 0.500 0.500 0.500
N: 0.250 0.250 0.250
N: 0.750 0.750 0.750

Computed properties:
**Space group**: Fm-3m, No. 225
**Crystal system**: cubic
**Energy relative to the elements, uncorrected**: 7.58 eV per formula unit



(9)
Computed, not measured: crystalline Pm2Y2ErSc at its relaxed geometry at the GGA-PBE level of DFT.

Cell: 7.017 5.563 9.636 Å, 90.00 90.00 90.00°
Fractional positions:
Pm: 0.250 0.000 0.147
Pm: 0.250 0.500 0.685
Pm: 0.750 0.000 0.853
Pm: 0.750 0.500 0.315
Y: 0.000 0.000 0.500
Y: 0.250 0.500 0.343
Y: 0.500 0.000 0.500
Y: 0.750 0.500 0.657
Er: 0.000 0.500 0.000
Er: 0.500 0.500 0.000
Sc: 0.250 0.000 0.821
Sc: 0.750 0.000 0.179

Computed properties:
**Space group**: Pmma, No. 51
**Formation energy from the elements**: 0.37 eV per formula unit
**Crystal system**: orthorhombic



(10)
Computed, not measured: crystalline AcEuLuMg at its relaxed geometry at the GGA-PBE level of DFT.

Cell: 5.799 5.799 5.799 Å, 60.00 60.00 60.00°
Fractional positions:
Ac: 0.000 0.000 0.000
Eu: 0.500 0.500 0.500
Lu: 0.750 0.750 0.750
Mg: 0.250 0.250 0.250

Computed properties:
**Space group**: F-43m, No. 216
**Formation energy from the elements**: 0.22 eV per formula unit
**Crystal system**: cubic



(11)
Computed, not measured: crystalline Rb2CBr at its relaxed geometry at the GGA-PBE level of DFT.

Cell: 5.744 5.744 5.744 Å, 60.00 60.00 60.00°
Fractional positions:
Rb: 0.250 0.250 0.250
Rb: 0.750 0.750 0.750
C: 0.000 0.000 0.000
Br: 0.500 0.500 0.500

Computed properties:
**Space group**: Fm-3m, No. 225
**Crystal system**: cubic
**Energy relative to the elements, uncorrected**: 1.34 eV per formula unit



(12)
Computed, not measured: crystalline MgVAg at its relaxed geometry at the GGA-PBE level of DFT.

Cell: 4.347 4.347 10.779 Å, 90.00 90.00 120.00°
Fractional positions:
Mg: 0.000 0.000 0.250
Mg: 0.000 0.000 0.750
V: 0.000 0.000 0.000
V: 0.000 0.000 0.500
Ag: 0.333 0.667 0.250
Ag: 0.667 0.333 0.750

Computed properties:
**Space group**: P6_3/mmc, No. 194
**Formation energy from the elements**: 4.37 eV per formula unit
**Crystal system**: hexagonal



(13)
Computed, not measured: crystalline PmZn4Ni8 at its relaxed geometry at the GGA-PBE level of DFT.

Cell: 6.402 6.402 6.402 Å, 98.47 98.47 134.87°
Fractional positions:
Pm: 0.000 0.000 0.000
Zn: 0.000 0.000 0.500
Zn: 0.000 0.500 0.000
Zn: 0.500 0.000 0.000
Zn: 0.500 0.500 0.500
Ni: 0.000 0.357 0.357
Ni: 0.000 0.643 0.643
Ni: 0.270 0.500 0.770
Ni: 0.357 0.000 0.357
Ni: 0.500 0.270 0.770
Ni: 0.500 0.730 0.230
Ni: 0.643 0.000 0.643
Ni: 0.730 0.500 0.230

Computed properties:
**Space group**: I4/mmm, No. 139
**Formation energy from the elements**: -2.49 eV per formula unit
**Crystal system**: tetragonal